[1]
6
Lattice="2.7967 0.0000 0.0000 0.0000 2.7967 0.0000 0.0000 0.0000 11.7677" Properties=species:S:1:pos:R:3 comment="IrPdW PBE optimized geometry" e_form_mev_per_atom=-96 sg=I4mm pbc="T T T"
Ir 0.0000 0.0000 0.0000
Ir 1.3984 1.3984 5.8838
Pd 0.0000 0.0000 7.9922
Pd 1.3984 1.3984 2.1083
W 0.0000 0.0000 4.0884
W 1.3984 1.3984 9.9723


[2]
14
Lattice="3.8440 0.0000 0.0000 0.0000 17.1204 0.0000 0.0000 0.0000 3.8616" Properties=species:S:1:pos:R:3 comment="Li4TbCu2 PBE optimized geometry" e_form_mev_per_atom=-69 sg=Cmmm pbc="T T T"
Li 0.0000 3.0291 0.0000
Li 0.0000 5.4987 1.9308
Li 0.0000 11.6217 1.9308
Li 0.0000 14.0912 0.0000
Li 1.9220 3.0615 1.9308
Li 1.9220 5.5310 0.0000
Li 1.9220 11.5893 0.0000
Li 1.9220 14.0589 1.9308
Tb 0.0000 8.5602 0.0000
Tb 1.9220 0.0000 0.0000
Cu 0.0000 1.2401 1.9308
Cu 0.0000 15.8803 1.9308
Cu 1.9220 7.3201 1.9308
Cu 1.9220 9.8003 1.9308


[3]
4
Lattice="3.2445 0.0000 0.0000 0.0000 4.2141 0.0000 0.0000 0.0000 4.2679" Properties=species:S:1:pos:R:3 comment="Fe2TcSb PBE optimized geometry" raw_formation_energy_ev_per_fu=0.83 sg=Pmmm pbc="T T T"
Fe 0.0000 0.0000 0.0000
Fe 1.6223 0.0000 2.1340
Tc 0.0000 2.1070 2.1340
Sb 1.6223 2.1070 0.0000


[4]
16
Lattice="6.9538 0.0000 0.0000 0.0000 6.9538 0.0000 0.0000 0.0000 6.9538" Properties=species:S:1:pos:R:3 comment="NpCdPdAu PBE optimized geometry" e_form_mev_per_atom=-168 sg=F-43m pbc="T T T"
Np 0.0000 0.0000 0.0000
Np 0.0000 3.4769 3.4769
Np 3.4769 0.0000 3.4769
Np 3.4769 3.4769 0.0000
Cd 0.0000 0.0000 3.4769
Cd 0.0000 3.4769 0.0000
Cd 3.4769 0.0000 0.0000
Cd 3.4769 3.4769 3.4769
Pd 1.7384 1.7384 5.2153
Pd 1.7384 5.2153 1.7384
Pd 5.2153 1.7384 1.7384
Pd 5.2153 5.2153 5.2153
Au 1.7384 1.7384 1.7384
Au 1.7384 5.2153 5.2153
Au 5.2153 1.7384 5.2153
Au 5.2153 5.2153 1.7384


[5]
16
Lattice="11.3101 0.0000 0.0000 0.0000 7.2524 0.0000 0.0000 0.0000 6.2600" Properties=species:S:1:pos:R:3 comment="CeY4Ho3 PBE optimized geometry" e_form_mev_per_atom=35 sg=Pmn2_1 pbc="T T T"
Ce 0.0000 0.8801 0.0000
Ce 5.6551 6.3723 3.1300
Y 0.0000 2.6964 3.1077
Y 0.0000 4.5507 6.2272
Y 2.8257 2.6983 5.2355
Y 2.8294 4.5540 2.1055
Y 5.6551 2.7017 3.0972
Y 5.6551 4.5559 6.2377
Y 8.4844 2.6983 5.2355
Y 8.4807 4.5540 2.1055
Ho 0.0000 6.3680 3.1386
Ho 2.8259 0.8886 2.0604
Ho 2.8292 6.3637 5.1904
Ho 5.6551 0.8843 0.0086
Ho 8.4842 0.8886 2.0604
Ho 8.4809 6.3637 5.1904


[6]
12
Lattice="3.9345 0.0000 0.0000 -1.9673 3.4074 0.0000 0.0000 0.0000 43.1096" Properties=species:S:1:pos:R:3 comment="KCaAc2 PBE optimized geometry" e_form_mev_per_atom=190 sg=R-3m pbc="T T T"
K 0.0000 0.0000 0.0000
K 0.0000 2.2716 28.7397
K 1.9673 1.1358 14.3698
Ca 0.0000 0.0000 21.5548
Ca 0.0000 2.2716 7.1849
Ca 1.9673 1.1358 35.9246
Ac 0.0000 0.0000 3.9969
Ac 0.0000 0.0000 39.1127
Ac 0.0000 2.2716 24.7429
Ac 0.0000 2.2716 32.7365
Ac 1.9673 1.1358 10.3730
Ac 1.9673 1.1358 18.3667


[7]
12
Lattice="-2.0549 2.0549 13.9439 2.0549 -2.0549 13.9439 2.0549 2.0549 -13.9439" Properties=species:S:1:pos:R:3 comment="Sm3Al2Pd7 PBE optimized geometry" e_form_mev_per_atom=-794 sg=I4/mmm pbc="T T T"
Sm 0.0000 0.0000 0.0000
Sm 0.0000 0.0000 4.9217
Sm 0.0000 0.0000 22.9661
Al 0.0000 0.0000 10.3959
Al 0.0000 0.0000 17.4919
Pd 2.0549 0.0000 2.1824
Pd 0.0000 0.0000 7.9024
Pd 2.0549 0.0000 11.7614
Pd 0.0000 0.0000 13.9439
Pd 0.0000 2.0549 2.1824
Pd 0.0000 0.0000 19.9854
Pd 0.0000 2.0549 11.7614


[8]
16
Lattice="4.6998 0.0000 0.0000 0.0000 4.6998 0.0000 0.0000 0.0000 18.5180" Properties=species:S:1:pos:R:3 comment="Na2ZnIn5 PBE optimized geometry" e_form_mev_per_atom=-26 sg=I4/mmm pbc="T T T"
Na 0.0000 0.0000 4.6196
Na 0.0000 0.0000 13.8984
Na 2.3499 2.3499 4.6394
Na 2.3499 2.3499 13.8786
Zn 0.0000 0.0000 0.0000
Zn 2.3499 2.3499 9.2590
In 0.0000 0.0000 9.2590
In 0.0000 2.3499 2.1155
In 0.0000 2.3499 7.1435
In 0.0000 2.3499 11.3745
In 0.0000 2.3499 16.4025
In 2.3499 0.0000 2.1155
In 2.3499 0.0000 7.1435
In 2.3499 0.0000 11.3745
In 2.3499 0.0000 16.4025
In 2.3499 2.3499 0.0000


Quick rundown of D(E_F), same order as above: 5.9 6.0 3.6 51.5 31.7 16.1 4.1 7.8 states/eV/cell
Quick rundown of total DFT energy (no corrections), same order as above: -54.59 -41.92 -30.59 -91.99 -90.49 -31.67 -67.52 -35.62 eV for the cell shown